Record 1
First-principles (PBE) data for a relaxed Al3PtPb crystal, as listed in the Alexandria database.

## Properties
Raw total energy, eV/atom: -4.349
Energy relative to the lowest polymorph listed for this composition, meV/atom: 0.0
Formation energy from the elements, eV per atom: -0.154
V, Å³ per atom: 22.70

Unit cell a=4.8420 b=4.8420 c=4.8420 alpha=90.00 beta=90.00 gamma=90.00
Space group Pm-3m (No. 221)
Symmetry-distinct sites (fractional):
Al (0.0000, 0.0000, 0.5000) (multiplicity 3)
Pt (0.0000, 0.0000, 0.0000) (multiplicity 1)
Pb (0.5000, 0.5000, 0.5000) (multiplicity 1)

=====

Record 2
First-principles (PBE) data for a relaxed TcRuRh2 crystal, as listed in the Alexandria database.

## Properties
Raw total energy, eV/atom: -8.574
Energy relative to the lowest polymorph listed for this composition, meV/atom: 89.4
Formation energy from the elements, eV per atom: 0.012
V, Å³ per atom: 14.18

Unit cell a=9.4549 b=5.4224 c=4.6897 alpha=90.00 beta=109.35 gamma=90.00
Space group C2/c (No. 15)
Symmetry-distinct sites (fractional):
Tc (0.0000, 0.1307, 0.2500) (multiplicity 4)
Ru (0.0000, 0.3695, 0.7500) (multiplicity 4)
Rh (0.2494, 0.1234, 0.7481) (multiplicity 8)

=====

Record 3
First-principles (PBE) data for a relaxed Dy5Ho2Sc4 crystal, as listed in the Alexandria database.

## Properties
Raw total energy, eV/atom: -5.057
Energy relative to the lowest polymorph listed for this composition, meV/atom: 63.6
Formation energy from the elements, eV per atom: 0.170
V, Å³ per atom: 29.91

Unit cell a=3.3920 b=8.6359 c=22.4621 alpha=90.00 beta=90.00 gamma=90.00
Space group Immm (No. 71)
Symmetry-distinct sites (fractional):
Dy (0.0000, 0.0000, 0.0000) (multiplicity 2)
Dy (0.0000, 0.2989, 0.3591) (multiplicity 8)
Ho (0.0000, 0.5000, 0.2304) (multiplicity 4)
Sc (0.0000, 0.1783, 0.5000) (multiplicity 4)
Sc (0.0000, 0.5000, 0.0943) (multiplicity 4)

=====

Record 4
First-principles (PBE) data for a relaxed CsOF2 crystal, as listed in the Alexandria database.

## Properties
Raw total energy, eV/atom: -3.105
Raw formation energy, eV per atom: -0.717
Energy relative to the lowest polymorph listed for this composition, meV/atom: 303.4
V, Å³ per atom: 18.78

Unit cell a=4.1472 b=4.1472 c=15.1337 alpha=90.00 beta=90.00 gamma=120.00
Space group R-3m (No. 166, hexagonal axes)
Symmetry-distinct sites (fractional):
Cs (0.0000, 0.0000, 0.0000) (multiplicity 3)
O (0.0000, 0.0000, 0.5000) (multiplicity 3)
F (0.0000, 0.0000, 0.2201) (multiplicity 6)

=====

Record 5
First-principles (PBE) data for a relaxed La4Nd15Sc crystal, as listed in the Alexandria database.

## Properties
Raw total energy, eV/atom: -4.855
Formation energy from the elements, eV per atom: 0.023
V, Å³ per atom: 35.12

Unit cell a=5.2050 b=5.2050 c=25.9280 alpha=90.00 beta=90.00 gamma=90.00
Space group P4/mmm (No. 123)
Symmetry-distinct sites (fractional):
La (0.0000, 0.0000, 0.1015) (multiplicity 2)
La (0.0000, 0.0000, 0.3034) (multiplicity 2)
Nd (0.0000, 0.5000, 0.0000) (multiplicity 2)
Nd (0.0000, 0.5000, 0.2025) (multiplicity 4)
Nd (0.0000, 0.5000, 0.4052) (multiplicity 4)
Nd (0.5000, 0.5000, 0.1013) (multiplicity 2)
Nd (0.5000, 0.5000, 0.3044) (multiplicity 2)
Nd (0.5000, 0.5000, 0.5000) (multiplicity 1)
Sc (0.0000, 0.0000, 0.5000) (multiplicity 1)

=====

Record 6
First-principles (PBE) data for a relaxed RbP2NO crystal, as listed in the Alexandria database.

## Properties
Raw total energy, eV/atom: -2.608
Raw formation energy, eV per atom: 2.406
Energy relative to the lowest polymorph listed for this composition, meV/atom: 1614.7
V, Å³ per atom: 54.57

Unit cell a=7.5996 b=7.5996 c=4.7242 alpha=90.00 beta=90.00 gamma=90.00
Space group P4/mmm (No. 123)
Symmetry-distinct sites (fractional):
Rb (0.0000, 0.0000, 0.0000) (multiplicity 1)
P (0.0000, 0.5000, 0.0000) (multiplicity 2)
N (0.5000, 0.5000, 0.5000) (multiplicity 1)
O (0.0000, 0.0000, 0.5000) (multiplicity 1)

=====

Record 7
First-principles (PBE) data for a relaxed Cs2Hf2Rh crystal, as listed in the Alexandria database.

## Properties
Raw total energy, eV/atom: -4.590
Formation energy from the elements, eV per atom: 1.203
V, Å³ per atom: 36.48

Unit cell a=3.9041 b=3.9041 c=23.9364 alpha=90.00 beta=90.00 gamma=90.00
Space group I4/mmm (No. 139)
Symmetry-distinct sites (fractional):
Cs (0.0000, 0.0000, 0.0883) (multiplicity 4)
Hf (0.0000, 0.5000, 0.2500) (multiplicity 4)
Rh (0.0000, 0.0000, 0.5000) (multiplicity 2)

=====

Record 8
First-principles (PBE) data for a relaxed SiPd3W crystal, as listed in the Alexandria database.

## Properties
Raw total energy, eV/atom: -5.434
Raw formation energy, eV per atom: 1.357
Energy relative to the lowest polymorph listed for this composition, meV/atom: 653.1
V, Å³ per atom: 22.38

Unit cell a=4.8191 b=4.8191 c=4.8191 alpha=90.00 beta=90.00 gamma=90.00
Space group Pm-3m (No. 221)
Symmetry-distinct sites (fractional):
Si (0.0000, 0.0000, 0.0000) (multiplicity 1)
Pd (0.0000, 0.5000, 0.5000) (multiplicity 3)
W (0.5000, 0.5000, 0.5000) (multiplicity 1)

=====

no.,D(E_F) (states/eV per atom)
1,0.611
2,1.578
3,1.661
4,0.000
5,1.600
6,1.398
7,1.205
8,0.893